The following is a PBE+U calculation of a relaxed structure of CdMo3O, from the Alexandria database.

CIF file:
```
data_CdMo3O
_symmetry_space_group_name_H-M 'P m -3 m'
_symmetry_Int_Tables_number 221
_symmetry_space_group_name_Hall '-P 4 2 3'
_cell_length_a 4.224
_cell_length_b 4.224
_cell_length_c 4.224
_cell_angle_alpha 90.00
_cell_angle_beta 90.00
_cell_angle_gamma 90.00
loop_
_atom_site_label
_atom_site_type_symbol
_atom_site_fract_x
_atom_site_fract_y
_atom_site_fract_z
Cd1 Cd 0.000 0.000 0.000
Mo1 Mo 0.000 0.500 0.500
O1 O 0.500 0.500 0.500
```

Properties
E   -4.725 eV per atom
Magnetic moment   0.0 μB per cell